No. 1
TlBiS2 after structural relaxation. Source: Alexandria, functional PBE.

The structure in extended XYZ format:
```
8
Lattice="-1.398 6.670 3.253 -7.338 -0.748 -1.619 -5.067 0.778 4.992" Properties=species:S:1:pos:R:3 pbc="T T T"
Tl -4.368 2.961 0.817
Tl -8.386 1.496 2.095
S -11.777 5.731 5.100
S -5.964 0.257 0.495
S -6.742 2.838 4.431
S -3.121 4.573 3.227
Bi -5.416 5.204 4.531
Bi 0.000 0.000 0.000
```

Results
Formation energy from raw total energies ... -92 kJ/mol of formula units
SG ... No. 122
Calculated density ... 5838 kg/m³
Raw total energy ... -3.86 eV per atom

---

No. 2
UNi11Ge after structural relaxation. Source: Alexandria, functional PBE.

The structure in extended XYZ format:
```
13
Lattice="4.345 -0.052 1.810 2.067 5.806 0.861 -0.042 -0.026 6.220" Properties=species:S:1:pos:R:3 pbc="T T T"
Ni -0.021 -0.013 3.110
Ni 1.684 1.231 2.056
Ni 1.033 2.903 0.431
Ni 2.603 1.205 5.968
Ni 5.605 3.732 4.545
Ni 3.583 1.971 3.703
Ni 0.765 1.997 4.347
Ni 4.686 4.498 6.836
Ni 2.151 -0.039 4.015
Ni 3.767 4.524 2.924
Ni 2.787 3.758 5.189
Ge 3.206 2.877 1.336
U 0.000 0.000 0.000
```

Results
SG ... No. 12
Calculated density ... 10048 kg/m³
Raw total energy ... -6.28 eV per atom

---

No. 3
TbTmTeS after structural relaxation. Source: Alexandria, functional PBE.

The structure in extended XYZ format:
```
4
Lattice="-3.637 0.688 1.475 2.810 -1.636 2.306 3.561 6.578 0.327" Properties=species:S:1:pos:R:3 pbc="T T T"
Tb 2.547 -0.995 2.377
S 3.529 5.011 1.995
Tm 0.950 4.439 1.288
Te -1.138 2.472 2.438
```

Results
Formation energy from raw total energies ... -635 kJ/mol of formula units
SG ... No. 160
Calculated density ... 8261 kg/m³
Raw total energy ... -5.74 eV per atom

---

No. 4
Cr3As after structural relaxation. Source: Alexandria, functional PBE.

The structure in extended XYZ format:
```
4
Lattice="-2.276 0.457 -1.684 2.528 -0.694 -1.163 -1.733 -7.036 0.432" Properties=species:S:1:pos:R:3 pbc="T T T"
Cr -1.969 -5.180 -1.188
Cr -0.866 -3.518 0.216
Cr -1.114 -1.709 -1.401
As 0.000 0.000 0.000
```

Results
SG ... No. 187
Calculated density ... 7415 kg/m³
Raw total energy ... -8.09 eV per atom